## Pm2SmDy2Y (GGA-PBE)

Data for a relaxed Pm2SmDy2Y crystal.

Geometry as POSCAR:
```
Pm2SmDy2Y
1.0
-3.178 -0.087 1.210
1.885 -4.350 4.640
3.880 13.595 11.169
Pm Sm Dy Y
4 2 4 2
direct
0.500 0.270 0.314
0.000 0.770 0.186
0.500 0.730 0.686
0.000 0.230 0.814
0.500 0.500 0.000
0.000 0.000 0.500
0.500 0.772 0.353
0.500 0.228 0.647
0.000 0.728 0.853
0.000 0.272 0.147
0.000 0.000 0.000
0.500 0.500 0.500
```

Properties
Energy relative to the elements (eV/atom): 0.261
Space-group type: Pnnm, No. 58
Theoretical density (g/cm3): 7.0
D(E_F) (states/eV/f.u.): 9.96
Calculated total energy (eV/atom): -4.720

=====

## Pm2SmDy3Y6 (GGA-PBE)

Data for a relaxed Pm2SmDy3Y6 crystal.

Geometry as POSCAR:
```
Pm2SmDy3Y6
1.0
6.207 0.001 0.006
-3.101 5.376 0.006
-1.042 -1.805 11.658
Pm Sm Dy Y
2 1 3 6
direct
0.333 0.667 0.000
0.667 0.333 0.000
0.000 0.000 0.000
0.167 0.833 0.500
0.833 0.167 0.500
0.500 0.500 0.500
0.916 0.582 0.748
0.751 0.751 0.252
0.084 0.418 0.252
0.582 0.916 0.748
0.249 0.249 0.748
0.418 0.084 0.252
```

Properties
Energy relative to the elements (eV/atom): 0.018
Space-group type: C2/m, No. 12
Theoretical density (g/cm3): 6.2
D(E_F) (states/eV/f.u.): 16.67
Calculated total energy (eV/atom): -5.550

=====

## PmSm2Dy3Y6 (GGA-PBE)

Data for a relaxed PmSm2Dy3Y6 crystal.

Geometry as POSCAR:
```
PmSm2Dy3Y6
1.0
6.203 0.001 0.007
-3.099 5.374 0.007
-1.043 -1.806 11.653
Pm Sm Dy Y
1 2 3 6
direct
0.000 0.000 0.000
0.333 0.667 0.000
0.667 0.333 0.000
0.167 0.833 0.500
0.833 0.167 0.500
0.500 0.500 0.500
0.915 0.582 0.748
0.751 0.751 0.252
0.085 0.418 0.252
0.582 0.915 0.748
0.249 0.249 0.748
0.418 0.085 0.252
```

Properties
Energy relative to the elements (eV/atom): 0.018
Space-group type: C2/m, No. 12
Theoretical density (g/cm3): 6.3
D(E_F) (states/eV/f.u.): 16.68
Calculated total energy (eV/atom): -5.547

=====

## Pm6Sm3DyY2 (GGA-PBE)

Data for a relaxed Pm6Sm3DyY2 crystal.

Geometry as POSCAR:
```
Pm6Sm3DyY2
1.0
-5.321 -1.981 -2.698
3.530 -4.013 3.311
-5.394 4.787 9.562
Pm Sm Dy Y
6 3 1 2
direct
0.917 0.584 0.752
0.750 0.750 0.248
0.083 0.416 0.248
0.584 0.917 0.752
0.250 0.250 0.752
0.416 0.083 0.248
0.167 0.833 0.500
0.833 0.167 0.500
0.500 0.500 0.500
0.000 0.000 0.000
0.333 0.667 0.000
0.667 0.333 0.000
```

Properties
Energy relative to the elements (eV/atom): 0.012
Space-group type: C2/m, No. 12
Theoretical density (g/cm3): 6.8
D(E_F) (states/eV/f.u.): 15.90
Calculated total energy (eV/atom): -5.003

=====

## PmSmDy2Y5 (GGA-PBE)

Data for a relaxed PmSmDy2Y5 crystal.

Geometry as POSCAR:
```
PmSmDy2Y5
1.0
8.841 0.000 0.000
0.000 8.841 0.000
-4.421 -4.421 7.567
Pm Sm Dy Y
2 2 4 10
direct
0.250 0.250 0.500
0.750 0.750 0.500
0.250 0.750 0.500
0.750 0.250 0.500
0.115 0.385 0.000
0.615 0.115 0.000
0.385 0.885 0.000
0.885 0.615 0.000
0.930 0.430 0.267
0.662 0.162 0.733
0.070 0.570 0.733
0.162 0.070 0.733
0.570 0.662 0.733
0.838 0.930 0.267
0.430 0.338 0.267
0.338 0.838 0.267
0.500 0.500 0.000
0.000 0.000 0.000
```

Properties
Energy relative to the elements (eV/atom): 0.268
Space-group type: I4/mcm, No. 140
Theoretical density (g/cm3): 6.0
D(E_F) (states/eV/f.u.): 11.47
Calculated total energy (eV/atom): -5.398

=====

## PmSmDy3Y (GGA-PBE)

Data for a relaxed PmSmDy3Y crystal.

Geometry as POSCAR:
```
PmSmDy3Y
1.0
5.063 -0.002 0.000
-2.535 7.599 0.000
0.000 0.000 10.130
Pm Sm Dy Y
2 2 6 2
direct
0.501 0.001 0.750
0.499 0.999 0.250
0.000 0.000 0.500
0.000 0.000 0.000
0.668 0.335 0.500
0.332 0.665 0.500
0.332 0.665 0.000
0.668 0.335 0.000
0.167 0.335 0.750
0.833 0.665 0.250
0.832 0.664 0.750
0.168 0.336 0.250
```

Properties
Energy relative to the elements (eV/atom): 0.019
Space-group type: P2_1/m, No. 11
Theoretical density (g/cm3): 7.4
D(E_F) (states/eV/f.u.): 8.45
Calculated total energy (eV/atom): -4.938